Run P
DFT (PBE) results for GaAg2As after structural relaxation.

```
GaAg2As
1.0
0.0000 3.3475 3.3475
3.3475 0.0000 3.3475
3.3475 3.3475 0.0000
Ga Ag As
1 2 1
direct
0.0000 0.0000 0.0000 Ga
0.2500 0.2500 0.2500 Ag
0.7500 0.7500 0.7500 Ag
0.5000 0.5000 0.5000 As
```

Summary:
As for the size of the total moment: 0.00 μB per formula unit. Its space group is Fm-3m (225).

***

Run Q
DFT (PBE) results for GaAg2As after structural relaxation.

```
GaAg2As
1.0
1.4764 0.8524 10.2140
-1.4764 0.8524 10.2140
0.0000 -1.7048 10.2140
Ga Ag As
1 2 1
direct
0.0000 0.0000 0.0000 Ga
0.0877 0.0877 0.0877 Ag
0.9123 0.9123 0.9123 Ag
0.5000 0.5000 0.5000 As
```

Summary:
As for the size of the total moment: 0.00 μB per formula unit. Its space group is R-3m (166).

***

Run R
DFT (PBE) results for GaAg2As after structural relaxation.

```
GaAg2As
1.0
-2.0661 2.0661 9.1154
2.0661 -2.0661 9.1154
2.0661 2.0661 -9.1154
Ga Ag As
2 4 2
direct
0.0000 0.0000 0.0000 Ga
0.7500 0.2500 0.5000 Ga
0.1214 0.6250 0.9964 Ag
0.3750 0.3714 0.4964 Ag
0.6286 0.1250 0.0036 Ag
0.8750 0.8786 0.5036 Ag
0.2500 0.7500 0.5000 As
0.5000 0.5000 0.0000 As
```

Summary:
As for the size of the total moment: 0.00 μB per formula unit. Its space group is I-42d (122).

***

Most stable = run R

***

Run P
DFT (PBE) results for Ga3AgAs after structural relaxation.

```
Ga3AgAs
1.0
5.0195 0.0000 0.0000
0.0000 5.0195 0.0000
0.0000 0.0000 5.0195
Ga Ag As
3 1 1
direct
0.0000 0.0000 0.5000 Ga
0.0000 0.5000 0.0000 Ga
0.5000 0.0000 0.0000 Ga
0.5000 0.5000 0.5000 Ag
0.0000 0.0000 0.0000 As
```

Summary:
As for the size of the total moment: 0.00 μB per formula unit. Its space group is Pm-3m (221).

***

Run Q
DFT (PBE) results for Ga3AgAs after structural relaxation.

```
Ga3AgAs
1.0
4.9426 0.0000 0.0000
0.0000 4.9426 0.0000
0.0000 0.0000 4.9426
Ga Ag As
3 1 1
direct
0.0000 0.0000 0.5000 Ga
0.0000 0.5000 0.0000 Ga
0.5000 0.0000 0.0000 Ga
0.0000 0.0000 0.0000 Ag
0.5000 0.5000 0.5000 As
```

Summary:
As for the size of the total moment: 0.00 μB per formula unit. Its space group is Pm-3m (221).

***

Most stable = run Q

***

Run P
DFT (PBE) results for GaAg2As2 after structural relaxation.

```
GaAg2As2
1.0
8.3044 0.0000 0.0000
0.0000 8.3044 0.0000
0.0000 0.0000 2.8887
Ga Ag As
2 4 4
direct
0.0000 0.0000 0.0000 Ga
0.5000 0.5000 0.0000 Ga
0.1414 0.3586 0.5000 Ag
0.3586 0.8586 0.5000 Ag
0.6414 0.1414 0.5000 Ag
0.8586 0.6414 0.5000 Ag
0.1580 0.6580 0.0000 As
0.3420 0.1580 0.0000 As
0.6580 0.8420 0.0000 As
0.8420 0.3420 0.0000 As
```

Summary:
As for the size of the total moment: 0.00 μB per formula unit. Its space group is P4/mbm (127).

***

Run Q
DFT (PBE) results for GaAg2As2 after structural relaxation.

```
GaAg2As2
1.0
-2.2441 2.2441 5.4290
2.2441 -2.2441 5.4290
2.2441 2.2441 -5.4290
Ga Ag As
1 2 2
direct
0.0000 0.0000 0.0000 Ga
0.2500 0.7500 0.5000 Ag
0.7500 0.2500 0.5000 Ag
0.3894 0.3894 0.0000 As
0.6106 0.6106 0.0000 As
```

Summary:
As for the size of the total moment: 0.00 μB per formula unit. Its space group is I4/mmm (139).

***

Run R
DFT (PBE) results for GaAg2As2 after structural relaxation.

```
GaAg2As2
1.0
-1.9197 1.9197 7.0305
1.9197 -1.9197 7.0305
1.9197 1.9197 -7.0305
Ga Ag As
1 2 2
direct
0.0000 0.0000 0.0000 Ga
0.4038 0.4038 0.0000 Ag
0.5962 0.5962 0.0000 Ag
0.2500 0.7500 0.5000 As
0.7500 0.2500 0.5000 As
```

Summary:
As for the size of the total moment: 0.00 μB per formula unit. Its space group is I4/mmm (139).

***

Most stable = run Q

***

Run P
DFT (PBE) results for GaAgAs2Se after structural relaxation.

```
GaAgAs2Se
1.0
5.0283 0.0000 0.0000
0.0000 5.0283 0.0000
0.0000 0.0000 5.2769
Ga Ag As Se
1 1 2 1
direct
0.0000 0.0000 0.0000 Ga
0.5000 0.5000 0.5000 Ag
0.0000 0.5000 0.5000 As
0.5000 0.0000 0.5000 As
0.5000 0.5000 0.0000 Se
```

Summary:
As for the size of the total moment: 0.46 μB per formula unit. Its space group is P4/mmm (123).

***

Run Q
DFT (PBE) results for GaAgAs2Se after structural relaxation.

```
GaAgAs2Se
1.0
4.8994 0.0000 0.0000
0.0000 4.8994 0.0000
0.0000 0.0000 5.0855
Ga Ag As Se
1 1 2 1
direct
0.0000 0.0000 0.0000 Ga
0.5000 0.5000 0.5000 Ag
0.0000 0.5000 0.0000 As
0.5000 0.0000 0.0000 As
0.0000 0.0000 0.5000 Se
```

Summary:
As for the size of the total moment: 0.00 μB per formula unit. Its space group is P4/mmm (123).

***

Most stable = run Q

***

Run P
DFT (PBE) results for Ag2Ge2As after structural relaxation.

```
Ag2Ge2As
1.0
-2.0584 2.0584 5.9407
2.0584 -2.0584 5.9407
2.0584 2.0584 -5.9407
Ag Ge As
2 2 1
direct
0.2500 0.7500 0.5000 Ag
0.7500 0.2500 0.5000 Ag
0.1012 0.1012 0.0000 Ge
0.8988 0.8988 0.0000 Ge
0.5000 0.5000 0.0000 As
```

Summary:
As for the size of the total moment: 0.00 μB per formula unit. Its space group is I4/mmm (139).

***

Run Q
DFT (PBE) results for Ag2Ge2As after structural relaxation.

```
Ag2Ge2As
1.0
7.9986 0.0000 0.0000
0.0000 7.9986 0.0000
0.0000 0.0000 3.0582
Ag Ge As
4 4 2
direct
0.1224 0.3776 0.0000 Ag
0.3776 0.8776 0.0000 Ag
0.6224 0.1224 0.0000 Ag
0.8776 0.6224 0.0000 Ag
0.1788 0.6788 0.5000 Ge
0.3212 0.1788 0.5000 Ge
0.6788 0.8212 0.5000 Ge
0.8212 0.3212 0.5000 Ge
0.0000 0.0000 0.5000 As
0.5000 0.5000 0.5000 As
```

Summary:
As for the size of the total moment: 0.00 μB per formula unit. Its space group is P4/mbm (127).

***

Run R
DFT (PBE) results for Ag2Ge2As after structural relaxation.

```
Ag2Ge2As
1.0
7.9404 0.0000 0.0000
0.0000 7.9404 0.0000
0.0000 0.0000 3.0848
Ag Ge As
4 4 2
direct
0.1340 0.3660 0.0000 Ag
0.3660 0.8660 0.0000 Ag
0.6340 0.1340 0.0000 Ag
0.8660 0.6340 0.0000 Ag
0.1650 0.6650 0.5000 Ge
0.3350 0.1650 0.5000 Ge
0.6650 0.8350 0.5000 Ge
0.8350 0.3350 0.5000 Ge
0.0000 0.0000 0.0000 As
0.5000 0.5000 0.0000 As
```

Summary:
As for the size of the total moment: 0.00 μB per formula unit. Its space group is P4/mbm (127).

***

Most stable = run Q

***

Run P
DFT (PBE) results for AgGe2As2 after structural relaxation.

```
AgGe2As2
1.0
-2.2134 2.2134 5.8205
2.2134 -2.2134 5.8205
2.2134 2.2134 -5.8205
Ag Ge As
1 2 2
direct
0.0000 0.0000 0.0000 Ag
0.2500 0.7500 0.5000 Ge
0.7500 0.2500 0.5000 Ge
0.3784 0.3784 0.0000 As
0.6216 0.6216 0.0000 As
```

Summary:
As for the size of the total moment: 0.00 μB per formula unit. Its space group is I4/mmm (139).

***

Run Q
DFT (PBE) results for AgGe2As2 after structural relaxation.

```
AgGe2As2
1.0
7.4910 0.0000 0.0000
0.0000 7.4910 0.0000
0.0000 0.0000 3.6147
Ag Ge As
2 4 4
direct
0.0000 0.0000 0.0000 Ag
0.5000 0.5000 0.0000 Ag
0.1504 0.3496 0.5000 Ge
0.3496 0.8496 0.5000 Ge
0.6504 0.1504 0.5000 Ge
0.8496 0.6504 0.5000 Ge
0.1670 0.6670 0.0000 As
0.3330 0.1670 0.0000 As
0.6670 0.8330 0.0000 As
0.8330 0.3330 0.0000 As
```

Summary:
As for the size of the total moment: 0.00 μB per formula unit. Its space group is P4/mbm (127).

***

Run R
DFT (PBE) results for AgGe2As2 after structural relaxation.

```
AgGe2As2
1.0
7.5207 0.0000 0.0000
0.0000 7.5207 0.0000
0.0000 0.0000 3.4967
Ag Ge As
2 4 4
direct
0.0000 0.0000 0.0000 Ag
0.5000 0.5000 0.0000 Ag
0.1440 0.3560 0.0000 Ge
0.3560 0.8560 0.0000 Ge
0.6440 0.1440 0.0000 Ge
0.8560 0.6440 0.0000 Ge
0.1594 0.6594 0.5000 As
0.3406 0.1594 0.5000 As
0.6594 0.8406 0.5000 As
0.8406 0.3406 0.5000 As
```

Summary:
As for the size of the total moment: 0.00 μB per formula unit. Its space group is P4/mbm (127).

***

Most stable = run Q

***

Run P
DFT (PBE) results for AgGeAsSe2 after structural relaxation.

```
AgGeAsSe2
1.0
5.1352 0.0000 0.0000
0.0000 5.1352 0.0000
0.0000 0.0000 4.8688
Ag Ge As Se
1 1 1 2
direct
0.0000 0.0000 0.0000 Ag
0.5000 0.5000 0.5000 Ge
0.0000 0.0000 0.5000 As
0.0000 0.5000 0.0000 Se
0.5000 0.0000 0.0000 Se
```

Summary:
As for the size of the total moment: 0.00 μB per formula unit. Its space group is P4/mmm (123).

***

Run Q
DFT (PBE) results for AgGeAsSe2 after structural relaxation.

```
AgGeAsSe2
1.0
5.0465 0.0000 0.0000
0.0000 5.0465 0.0000
0.0000 0.0000 4.9459
Ag Ge As Se
1 1 1 2
direct
0.0000 0.0000 0.0000 Ag
0.5000 0.5000 0.5000 Ge
0.5000 0.5000 0.0000 As
0.0000 0.5000 0.5000 Se
0.5000 0.0000 0.5000 Se
```

Summary:
As for the size of the total moment: 0.59 μB per formula unit. Its space group is P4/mmm (123).

***

Most stable = run Q

***

Run P
DFT (PBE) results for AgGeAs2Se after structural relaxation.

```
AgGeAs2Se
1.0
4.9555 0.0000 0.0000
0.0000 4.9555 0.0000
0.0000 0.0000 5.1889
Ag Ge As Se
1 1 2 1
direct
0.0000 0.0000 0.0000 Ag
0.5000 0.5000 0.5000 Ge
0.0000 0.5000 0.0000 As
0.5000 0.0000 0.0000 As
0.0000 0.0000 0.5000 Se
```

Summary:
As for the size of the total moment: 0.46 μB per formula unit. Its space group is P4/mmm (123).

***

Run Q
DFT (PBE) results for AgGeAs2Se after structural relaxation.

```
AgGeAs2Se
1.0
4.9701 0.0000 0.0000
0.0000 4.9701 0.0000
0.0000 0.0000 5.0122
Ag Ge As Se
1 1 2 1
direct
0.0000 0.0000 0.0000 Ag
0.5000 0.5000 0.5000 Ge
0.0000 0.5000 0.5000 As
0.5000 0.0000 0.5000 As
0.5000 0.5000 0.0000 Se
```

Summary:
As for the size of the total moment: 0.00 μB per formula unit. Its space group is P4/mmm (123).

***

Most stable = run Q

***

Run P
DFT (PBE) results for AgAs3H after structural relaxation.

```
AgAs3H
1.0
5.0653 0.0000 0.0000
0.0000 5.0653 0.0000
0.0000 0.0000 5.0653
Ag As H
1 3 1
direct
0.0000 0.0000 0.0000 Ag
0.0000 0.0000 0.5000 As
0.0000 0.5000 0.0000 As
0.5000 0.0000 0.0000 As
0.5000 0.5000 0.5000 H
```

Summary:
As for the size of the total moment: 0.51 μB per formula unit. Its space group is Pm-3m (221).

***

Run Q
DFT (PBE) results for AgAs3H after structural relaxation.

```
AgAs3H
1.0
4.3393 0.0000 0.0000
0.0000 4.3393 0.0000
0.0000 0.0000 4.3393
Ag As H
1 3 1
direct
0.0000 0.0000 0.0000 Ag
0.0000 0.5000 0.5000 As
0.5000 0.0000 0.5000 As
0.5000 0.5000 0.0000 As
0.5000 0.5000 0.5000 H
```

Summary:
As for the size of the total moment: 0.00 μB per formula unit. Its space group is Pm-3m (221).

***

Most stable = run Q

***

Run P
DFT (PBE) results for Ag2AsH after structural relaxation.

```
Ag2AsH
1.0
-3.0146 3.0146 3.4537
3.0146 -3.0146 3.4537
3.0146 3.0146 -3.4537
Ag As H
4 2 2
direct
0.0208 0.6250 0.8958 Ag
0.3750 0.2708 0.3958 Ag
0.7292 0.1250 0.1042 Ag
0.8750 0.9792 0.6042 Ag
0.2500 0.7500 0.5000 As
0.5000 0.5000 0.0000 As
0.0000 0.0000 0.0000 H
0.7500 0.2500 0.5000 H
```

Summary:
As for the size of the total moment: 0.00 μB per formula unit. Its space group is I-42d (122).

***

Run Q
DFT (PBE) results for Ag2AsH after structural relaxation.

```
Ag2AsH
1.0
0.0000 3.1565 3.1565
3.1565 0.0000 3.1565
3.1565 3.1565 0.0000
Ag As H
2 1 1
direct
0.2500 0.2500 0.2500 Ag
0.7500 0.7500 0.7500 Ag
0.0000 0.0000 0.0000 As
0.5000 0.5000 0.5000 H
```

Summary:
As for the size of the total moment: 0.52 μB per formula unit. Its space group is Fm-3m (225).

***

Most stable = run P

***

Run P
DFT (PBE) results for Li2AgAsH after structural relaxation.

```
Li2AgAsH
1.0
4.1359 0.0000 0.0000
0.0000 4.1359 0.0000
0.0000 0.0000 3.9007
Li Ag As H
2 1 1 1
direct
0.0000 0.5000 0.0000 Li
0.5000 0.0000 0.0000 Li
0.0000 0.0000 0.5000 Ag
0.5000 0.5000 0.5000 As
0.5000 0.5000 0.0000 H
```

Summary:
As for the size of the total moment: 0.00 μB per formula unit. Its space group is P4/mmm (123).

***

Run Q
DFT (PBE) results for Li2AgAsH after structural relaxation.

```
Li2AgAsH
1.0
4.1263 0.0000 0.0000
0.0000 4.1263 0.0000
0.0000 0.0000 3.8507
Li Ag As H
2 1 1 1
direct
0.0000 0.5000 0.0000 Li
0.5000 0.0000 0.0000 Li
0.0000 0.0000 0.5000 Ag
0.5000 0.5000 0.5000 As
0.0000 0.0000 0.0000 H
```

Summary:
As for the size of the total moment: 0.00 μB per formula unit. Its space group is P4/mmm (123).

***

Most stable = run Q